Below is a geometry-optimized Nd2MnFeO6 structure, with properties calculated at the GGA+U level.

Computed properties:
- DFT total energy (eV/atom) = -7.71

Geometry as CIF:
```
data_Nd2MnFeO6
_chemical_formula_sum 'Nd4 Mn2 Fe2 O12'
_cell_length_a 5.476
_cell_length_b 5.738
_cell_length_c 9.419
_cell_angle_alpha 90.00
_cell_angle_beta 124.84
_cell_angle_gamma 90.00
_symmetry_space_group_name_H-M 'P 1 21/c 1'
_symmetry_Int_Tables_number 14
loop_
_symmetry_equiv_pos_as_xyz
'x,y,z'
'-x,-y,-z'
'-x,y+1/2,-z+1/2'
'x,-y+1/2,z+1/2'
loop_
_atom_site_label
_atom_site_fract_x
_atom_site_fract_y
_atom_site_fract_z
_atom_site_occupancy
Nd1 0.232 0.063 0.249 1
Mn1 0.500 0.000 0.000 1
Fe1 0.000 0.000 0.500 1
O1 0.167 0.190 0.954 1
O2 0.263 0.715 0.952 1
O3 0.349 0.025 0.756 1
```